Entry 1:
# CaLa6Sm5 GGA-PBE optimized geometry
data_CaLa6Sm5
_cell_length_a 5.2664
_cell_length_b 10.4080
_cell_length_c 15.7958
_cell_angle_alpha 90.00
_cell_angle_beta 90.00
_cell_angle_gamma 90.00
_symmetry_space_group_name_H-M 'I m m m'
_symmetry_Int_Tables_number 71
_symmetry_space_group_name_Hall '-I 2 2'
loop_
_atom_site_label
_atom_site_type_symbol
_atom_site_fract_x
_atom_site_fract_y
_atom_site_fract_z
Ca1 Ca 0.0000 0.0000 0.0000
La1 La 0.0000 0.2422 0.5000
La2 La 0.0000 0.2527 0.1697
Sm1 Sm 0.0000 0.0000 0.3329
Sm2 Sm 0.0000 0.5000 0.0000
Sm3 Sm 0.0000 0.5000 0.3289
# Spin magnetization ... 0.000 μB/atom
# E_form ... 3.2 kJ/mol of atoms

=====

Entry 2:
# CsK3Mg GGA-PBE optimized geometry
data_CsK3Mg
_cell_length_a 7.2602
_cell_length_b 7.2602
_cell_length_c 7.2602
_cell_angle_alpha 90.00
_cell_angle_beta 90.00
_cell_angle_gamma 90.00
_symmetry_space_group_name_H-M 'P m -3 m'
_symmetry_Int_Tables_number 221
_symmetry_space_group_name_Hall '-P 4 2 3'
loop_
_atom_site_label
_atom_site_type_symbol
_atom_site_fract_x
_atom_site_fract_y
_atom_site_fract_z
Cs1 Cs 0.0000 0.0000 0.0000
K1 K 0.0000 0.5000 0.5000
Mg1 Mg 0.5000 0.5000 0.5000
# Spin magnetization ... 0.000 μB/atom
# E_form ... 16.5 kJ/mol of atoms
# Excess energy over the best structure of this formula in the dataset ... 0.00 eV/f.u.